{"formula": "Nd3ErIn", "functional": "PBE", "state": "optimized geometry", "cell": [[4.7975, 0.0000, 1.0963], [0.0000, 4.9205, 0.0000], [-0.4569, 0.0000, 13.0440]], "species": ["In", "In", "Nd", "Nd", "Nd", "Nd", "Nd", "Nd", "Er", "Er"], "frac_coords": [[0.6708, 0.7500, 0.3068], [0.9776, 0.2500, 0.6932], [0.0750, 0.7500, 0.4984], [0.7704, 0.2500, 0.1075], [0.8779, 0.7500, 0.8925], [0.2688, 0.7500, 0.1108], [0.3795, 0.2500, 0.8892], [0.5734, 0.2500, 0.5016], [0.4758, 0.7500, 0.6967], [0.1725, 0.2500, 0.3033]], "n_ef_per_ev_atom": 1.163, "dft_energy_ev_per_atom": -4.51}